Density functional theory data (PBE) for a relaxed LiYTl crystal.

Cell lengths 7.110, 7.110, 7.110 Å; angles 90.00, 90.00, 90.00 degrees
Sites, in units of the cell vectors:
Li (0.000, 0.000, 0.000)
Li (0.000, 0.500, 0.500)
Li (0.500, 0.000, 0.500)
Li (0.500, 0.500, 0.000)
Y (0.250, 0.250, 0.750)
Y (0.250, 0.750, 0.250)
Y (0.750, 0.250, 0.250)
Y (0.750, 0.750, 0.750)
Tl (0.000, 0.000, 0.500)
Tl (0.000, 0.500, 0.000)
Tl (0.500, 0.000, 0.000)
Tl (0.500, 0.500, 0.500)

Results
Its magnetic moment is 0.00 μB per formula unit. As for the electronic total energy: -3.319 eV per atom. The calculation puts the excess energy over the best structure of this formula in the dataset at 565 meV per atom. The value obtained for the density of states at the Fermi level is 17.89 states/eV per cell. Its formation energy is 0.262 eV/atom.


Density functional theory data (PBE) for a relaxed V4TcW2 crystal.

Cell lengths 6.041, 6.041, 6.048 Å; angles 90.00, 90.00, 90.00 degrees
Sites, in units of the cell vectors:
V (0.250, 0.250, 0.250)
V (0.250, 0.250, 0.750)
V (0.250, 0.750, 0.250)
V (0.250, 0.750, 0.750)
V (0.750, 0.250, 0.250)
V (0.750, 0.250, 0.750)
V (0.750, 0.750, 0.250)
V (0.750, 0.750, 0.750)
Tc (0.000, 0.000, 0.000)
Tc (0.500, 0.500, 0.500)
W (0.000, 0.500, 0.000)
W (0.000, 0.500, 0.500)
W (0.500, 0.000, 0.000)
W (0.500, 0.000, 0.500)

Results
Its magnetic moment is 0.00 μB per formula unit. As for the electronic total energy: -10.140 eV per atom. The value obtained for the density of states at the Fermi level is 17.17 states/eV per cell. Its formation energy is 0.253 eV/atom.


Density functional theory data (PBE) for a relaxed ErTmPt crystal.

Cell lengths 8.340, 8.340, 8.340 Å; angles 33.47, 33.47, 33.47 degrees
Sites, in units of the cell vectors:
Er (0.125, 0.125, 0.125)
Er (0.875, 0.875, 0.875)
Tm (0.375, 0.375, 0.375)
Tm (0.625, 0.625, 0.625)
Pt (0.250, 0.250, 0.250)
Pt (0.750, 0.750, 0.750)

Results
Its magnetic moment is 0.00 μB per formula unit. As for the electronic total energy: -5.944 eV per atom. The calculation puts the excess energy over the best structure of this formula in the dataset at 29 meV per atom. The value obtained for the density of states at the Fermi level is 4.66 states/eV per cell. Its formation energy is -0.919 eV/atom.


Density functional theory data (PBE) for a relaxed Y2AgHg8 crystal.

Cell lengths 9.129, 9.129, 6.737 Å; angles 108.67, 108.67, 30.38 degrees
Sites, in units of the cell vectors:
Y (0.210, 0.210, 0.202)
Y (0.790, 0.790, 0.798)
Ag (0.500, 0.500, 0.500)
Hg (0.014, 0.014, 0.233)
Hg (0.167, 0.167, 0.694)
Hg (0.360, 0.360, 0.620)
Hg (0.386, 0.386, 0.083)
Hg (0.614, 0.614, 0.917)
Hg (0.640, 0.640, 0.380)
Hg (0.833, 0.833, 0.306)
Hg (0.986, 0.986, 0.767)

Results
Its magnetic moment is 0.00 μB per formula unit. As for the electronic total energy: -1.852 eV per atom. The calculation puts the excess energy over the best structure of this formula in the dataset at 41 meV per atom. The value obtained for the density of states at the Fermi level is 6.22 states/eV per cell. Its formation energy is -0.198 eV/atom.


Density functional theory data (PBE) for a relaxed BaTa2Br crystal.

Cell lengths 3.352, 6.798, 5.056 Å; angles 90.00, 90.15, 90.00 degrees
Sites, in units of the cell vectors:
Ba (0.000, 0.000, 0.000)
Ta (0.270, 0.500, 0.201)
Ta (0.730, 0.500, 0.799)
Br (0.500, 0.000, 0.500)

Results
The value obtained for the uncorrected formation energy is 2.34 eV/f.u. Its magnetic moment is 0.00 μB per formula unit. As for the electronic total energy: -6.241 eV per atom. The calculation puts the excess energy over the best structure of this formula in the dataset at 453 meV per atom. The value obtained for the density of states at the Fermi level is 4.18 states/eV per cell.


Density functional theory data (PBE) for a relaxed ErCr6 crystal.

Cell lengths 6.223, 6.223, 6.223 Å; angles 90.00, 90.00, 90.00 degrees
Sites, in units of the cell vectors:
Er (0.000, 0.000, 0.000)
Er (0.500, 0.500, 0.500)
Cr (0.000, 0.250, 0.500)
Cr (0.000, 0.500, 0.250)
Cr (0.000, 0.500, 0.750)
Cr (0.000, 0.750, 0.500)
Cr (0.250, 0.000, 0.500)
Cr (0.250, 0.500, 0.000)
Cr (0.500, 0.000, 0.250)
Cr (0.500, 0.000, 0.750)
Cr (0.500, 0.250, 0.000)
Cr (0.500, 0.750, 0.000)
Cr (0.750, 0.000, 0.500)
Cr (0.750, 0.500, 0.000)

Results
Its magnetic moment is 0.00 μB per formula unit. As for the electronic total energy: -7.648 eV per atom. The value obtained for the density of states at the Fermi level is 24.40 states/eV per cell. Its formation energy is 1.253 eV/atom.